The following is a DFT calculation (PBE) of a relaxed Mn2AlFe crystal.

## Properties
For the formation energy, the calculation gives -0.07 eV/atom. The space group is I4/mmm (139).

Unit cell a=4.2873 b=4.2873 c=4.2873 alpha=127.43 beta=127.43 gamma=77.55
Each line ends with the local moment (μB).
Positions (direct):
Fe: 0.7500 0.2500 0.5000  1.33
Mn: 0.0000 0.0000 0.0000  2.05
Mn: 0.5000 0.5000 0.0000  2.05
Al: 0.2500 0.7500 0.5000  -0.05

The following is a DFT calculation (PBE) of a relaxed LiFeBr2 crystal.

## Properties
The calculation puts the uncorrected formation energy at -0.36 eV per atom. The space group is Pmmm (47).

Unit cell a=3.6682 b=7.9525 c=3.6591 alpha=90.00 beta=90.00 gamma=90.00
Each line ends with the local moment (μB).
Positions (direct):
Br: 0.0000 0.0000 0.0000  0.06
Br: 0.5000 0.5000 0.0000  0.00
Fe: 0.5000 0.0000 0.5000  2.91
Li: 0.0000 0.5000 0.5000  0.00

The following is a DFT calculation (PBE) of a relaxed PrNp2UAs4 crystal.

## Properties
For the formation energy, the calculation gives -0.88 eV/atom. The space group is I-4m2 (119).

Unit cell a=5.8762 b=5.8762 c=7.1945 alpha=114.10 beta=114.10 gamma=90.00
Each line ends with the local moment (μB).
Positions (direct):
As: 0.5016 0.0016 0.0031  0.09
As: 0.9984 0.4984 0.9969  0.09
As: 0.7556 0.7556 0.5112  0.09
As: 0.2444 0.2444 0.4888  0.09
U: 0.7500 0.2500 0.5000  -2.30
Np: 0.0000 0.0000 0.0000  -3.75
Pr: 0.5000 0.5000 0.0000  -0.04
Np: 0.2500 0.7500 0.5000  -3.81

The following is a DFT calculation (PBE) of a relaxed Ca2AlOs2 crystal.

## Properties
For the formation energy, the calculation gives 0.06 eV/atom. The space group is P4/mbm (127).

Unit cell a=6.5947 b=6.5947 c=4.8070 alpha=90.00 beta=90.00 gamma=90.00
Positions (direct):
Ca: 0.1735 0.6735 0.5000
Ca: 0.8265 0.3265 0.5000
Al: 0.0000 0.0000 0.0000
Os: 0.6281 0.1281 0.0000
Os: 0.8719 0.6281 0.0000
Ca: 0.6735 0.8265 0.5000
Os: 0.3719 0.8719 0.0000
Ca: 0.3265 0.1735 0.5000
Al: 0.5000 0.5000 0.0000
Os: 0.1281 0.3719 0.0000

| no. | E_tot (eV/atom) |
| --- | --- |
| 1 | -7.7070 |
| 2 | -3.7920 |
| 3 | -8.4454 |
| 4 | -5.9789 |